# CaYMn2 (PBE-GGA, optimized geometry)
data_CaYMn2
_chemical_formula_sum 'Ca3 Y3 Mn6'
_space_group_name_H-M_alt 'P 1'
_space_group_IT_number 1
_cell_length_a 3.7520
_cell_length_b 3.7520
_cell_length_c 23.4609
_cell_angle_alpha 90.00
_cell_angle_beta 90.00
_cell_angle_gamma 120.00
loop_
_space_group_symop_operation_xyz
'x,y,z'
loop_
_atom_site_label
_atom_site_type_symbol
_atom_site_fract_x
_atom_site_fract_y
_atom_site_fract_z
Ca1 Ca 0.0000 0.0000 0.0000
Ca2 Ca 0.3333 0.6667 0.6667
Ca3 Ca 0.6667 0.3333 0.3333
Y1 Y 0.0000 0.0000 0.8163
Y2 Y 0.3333 0.6667 0.4829
Y3 Y 0.6667 0.3333 0.1496
Mn1 Mn 0.0000 0.0000 0.2352
Mn2 Mn 0.0000 0.0000 0.5717
Mn3 Mn 0.3333 0.6667 0.2384
Mn4 Mn 0.3333 0.6667 0.9019
Mn5 Mn 0.6667 0.3333 0.5685
Mn6 Mn 0.6667 0.3333 0.9050
# * uncorrected energy: -0.480 Ry per atom
# * formation energy: 168 meV/atom
# * Fermi-level density of states: 19.983 states/eV per cell